This record from Alexandria via LeMat-Bulk describes crystalline VO2F at its relaxed geometry. The functional is GGA+U.

Geometry as POSCAR:
```
VO2F
1.0
-4.488 2.807 -0.113
-6.627 -10.865 -0.804
2.003 -1.767 4.628
O F V
12 6 6
Direct
0.052 0.770 0.519 O
0.477 0.272 0.962 O
0.851 0.393 0.709 O
0.643 0.563 0.814 O
0.245 0.083 0.889 O
0.574 0.749 0.564 O
0.779 0.922 0.099 O
0.122 0.582 0.778 O
0.721 0.108 0.843 O
0.304 0.895 0.151 O
0.890 0.416 0.233 O
0.954 0.228 0.479 O
0.427 0.252 0.430 F
0.826 0.939 0.622 F
0.158 0.606 0.294 F
0.372 0.437 0.194 F
0.200 0.062 0.368 F
0.538 0.728 0.044 F
0.284 0.667 0.651 V
0.344 0.172 0.721 V
0.623 0.830 0.340 V
0.705 0.330 0.340 V
0.961 0.004 0.004 V
0.950 0.491 0.955 V
```

SG: P1 (1)
crystal system: triclinic
electronic total energy: -6.7984 eV/atom